Crystalline K2Y4Au4Se9 at its relaxed geometry, computed with PBE.

The value obtained for the size of the total moment is 0.0 μB per cell. For the total energy, the calculation gives -5.008 eV/atom. As for the volume: 26.31 Å³/atom.

The structure belongs to space group C2/m (No. 12); the cell edges are 14.653, 4.269 and 16.884 Å and the angles 90.00°, 108.82° and 90.00°. The asymmetric unit holds K at (0.044, 0.000, 0.275), Y at (0.152, 0.500, 0.562), Y at (0.230, 0.000, 0.106), Au at (0.091, 0.500, 0.983), Au at (0.227, 0.000, 0.721), Se at (0.000, 0.000, 0.500), Se at (0.112, 0.500, 0.141), Se at (0.127, 0.500, 0.725), Se at (0.140, 0.000, 0.917) and Se at (0.205, 0.500, 0.405).